Entry 1:
This record from the Alexandria database describes crystalline MnNbPd3 at its relaxed geometry. The functional is PBE.

```
MnNbPd3
1.0
4.8595 0.0000 0.0000
1.6837 5.3622 0.0000
1.6708 1.0346 5.9855
Mn Nb Pd
2 2 6
Direct
0.1014 0.3949 0.3019
0.8986 0.6051 0.6981
0.2968 0.7182 0.9048
0.7032 0.2818 0.0952
0.0985 0.8964 0.2986
0.2893 0.2191 0.9010
0.5000 0.0000 0.5000
0.5000 0.5000 0.5000
0.7107 0.7809 0.0990
0.9015 0.1036 0.7014
```

VASP energy: -7.17 eV/atom
magnetic moment: 6.368 μB/cell
energy above the lowest structure with this stoichiometry: 0 meV/atom
energy of formation from the pure elements: -206 meV/atom
space group: P-1, No. 2

***

Entry 2:
This record from the Alexandria database describes crystalline TaCdP2 at its relaxed geometry. The functional is PBE.

```
TaCdP2
1.0
4.3140 -1.5784 0.0000
4.3140 1.5784 0.0000
-0.7220 0.0000 5.3988
Ta Cd P
1 1 2
Direct
0.0000 0.0000 0.0000
0.5000 0.5000 0.5000
0.2765 0.2765 0.8411
0.7235 0.7235 0.1589
```

VASP energy: -5.92 eV/atom
magnetic moment: 0.000 μB/cell
energy of formation from the pure elements: -26 meV/atom
space group: C2/m, No. 12

***

Entry 3:
This record from the Alexandria database describes crystalline Ag3PbSe at its relaxed geometry. The functional is PBE.

```
Ag3PbSe
1.0
5.1023 0.0000 0.0000
0.0000 5.1023 0.0000
0.0000 0.0000 5.1023
Ag Pb Se
3 1 1
Direct
0.0000 0.0000 0.5000
0.0000 0.5000 0.0000
0.5000 0.0000 0.0000
0.5000 0.5000 0.5000
0.0000 0.0000 0.0000
```

VASP energy: -2.82 eV/atom
magnetic moment: 0.000 μB/cell
formation energy without anion corrections: 332 meV per atom
energy above the lowest structure with this stoichiometry: 0 meV/atom
space group: Pm-3m, No. 221

***

Entry 4:
This record from the Alexandria database describes crystalline Zr2SbTe at its relaxed geometry. The functional is PBE.

```
Zr2SbTe
1.0
-1.8492 2.4864 5.1642
1.8492 -2.4864 5.1642
1.8492 2.4864 -5.1642
Zr Sb Te
2 1 1
Direct
0.0000 0.0000 0.0000
0.7331 0.2331 0.5000
0.2277 0.7277 0.5000
0.5117 0.5117 0.0000
```

VASP energy: -6.54 eV/atom
magnetic moment: 0.000 μB/cell
formation energy without anion corrections: -452 meV per atom
energy above the lowest structure with this stoichiometry: 301 meV/atom
space group: Imm2, No. 44

***

Entry 5:
This record from the Alexandria database describes crystalline NdHoEr4 at its relaxed geometry. The functional is PBE.

```
NdHoEr4
1.0
4.3811 -7.3365 0.0000
4.3811 7.3365 0.0000
-2.5243 0.0000 5.9873
Nd Ho Er
2 2 8
Direct
0.0103 0.9897 0.7500
0.9897 0.0103 0.2500
0.4135 0.5865 0.7500
0.5865 0.4135 0.2500
0.1107 0.7097 0.4559
0.1755 0.4265 0.1118
0.2903 0.8893 0.0441
0.4265 0.1755 0.6118
0.5735 0.8245 0.3882
0.7097 0.1107 0.9559
0.8245 0.5735 0.8882
0.8893 0.2903 0.5441
```

VASP energy: -4.44 eV/atom
magnetic moment: 0.001 μB/cell
energy above the lowest structure with this stoichiometry: 140 meV/atom
energy of formation from the pure elements: 162 meV/atom
space group: C2/c, No. 15

***

Entry 6:
This record from the Alexandria database describes crystalline Ba7Na3Rh2 at its relaxed geometry. The functional is PBE.

```
Ba7Na3Rh2
1.0
3.1106 -15.2535 0.0000
3.1106 15.2535 0.0000
0.0000 0.0000 6.1854
Ba Na Rh
7 3 2
Direct
0.0000 0.0000 0.0000
0.0994 0.9006 0.5000
0.1996 0.8004 0.0000
0.3990 0.6010 0.0000
0.6010 0.3990 0.0000
0.8004 0.1996 0.0000
0.9006 0.0994 0.5000
0.2967 0.7033 0.5000
0.5000 0.5000 0.5000
0.7033 0.2967 0.5000
0.1033 0.8967 0.0000
0.8967 0.1033 0.0000
```

VASP energy: -2.80 eV/atom
magnetic moment: 0.000 μB/cell
energy of formation from the pure elements: -121 meV/atom
space group: Cmmm, No. 65

***

What did the third record say?
This record from the Alexandria database describes crystalline Ag3PbSe at its relaxed geometry. The functional is PBE.

```
Ag3PbSe
1.0
5.1023 0.0000 0.0000
0.0000 5.1023 0.0000
0.0000 0.0000 5.1023
Ag Pb Se
3 1 1
Direct
0.0000 0.0000 0.5000
0.0000 0.5000 0.0000
0.5000 0.0000 0.0000
0.5000 0.5000 0.5000
0.0000 0.0000 0.0000
```

VASP energy: -2.82 eV/atom
magnetic moment: 0.000 μB/cell
formation energy without anion corrections: 332 meV per atom
energy above the lowest structure with this stoichiometry: 0 meV/atom
space group: Pm-3m, No. 221